Record 1
RbAlW2: optimized geometry, PBE-GGA.

The structure belongs to space group I-42d (No. 122); the cell edges are 4.333, 4.333 and 19.523 Å and the angles 90.00°, 90.00° and 90.00°. The inequivalent atoms are Rb at (0.000, 0.000, 0.000), Al at (0.000, 0.000, 0.500) and W at (0.161, 0.250, 0.625).

For the formation energy, the calculation gives 1.742 eV per atom. As for the mass density: 8.700 g cm⁻³. The final energy is -0.217 hartree per atom. As for the volume: 22.9 Å³ per atom. Its density of states at the Fermi level is 0.920 states/eV per atom.

***

Record 2
RbAl2W: optimized geometry, PBE-GGA.

The structure belongs to space group I4_1/amd (No. 141, origin choice 2); the cell edges are 5.642, 5.642 and 17.335 Å and the angles 90.00°, 90.00° and 90.00°. The inequivalent atoms are Rb at (0.000, 0.250, 0.375), Al at (0.000, 0.000, 0.000) and W at (0.000, 0.250, 0.875).

For the formation energy, the calculation gives 1.123 eV per atom. As for the mass density: 3.892 g cm⁻³. The final energy is -0.155 hartree per atom. As for the volume: 34.5 Å³ per atom. Its density of states at the Fermi level is 0.652 states/eV per atom.

***

> Which formula does entry 1 have?

RbAlW2

***

> Which formula does entry 1 have?

RbAlW2

***

Please write out number 1 again, unchanged.
RbAlW2: optimized geometry, PBE-GGA.

The structure belongs to space group I-42d (No. 122); the cell edges are 4.333, 4.333 and 19.523 Å and the angles 90.00°, 90.00° and 90.00°. The inequivalent atoms are Rb at (0.000, 0.000, 0.000), Al at (0.000, 0.000, 0.500) and W at (0.161, 0.250, 0.625).

For the formation energy, the calculation gives 1.742 eV per atom. As for the mass density: 8.700 g cm⁻³. The final energy is -0.217 hartree per atom. As for the volume: 22.9 Å³ per atom. Its density of states at the Fermi level is 0.920 states/eV per atom.